A geometry-optimized TiP2PdS structure, computed with PBE.

Results
The raw formation energy is 588 meV/atom. The calculation puts the energy above the most stable polymorph in this dataset at 1.562 eV per formula unit. For the calculated density, the calculation gives 4.17 g cm⁻³. As for the crystal system: tetragonal.

Unit cell a=4.5842 b=4.5842 c=4.7001 alpha=90.00 beta=90.00 gamma=90.00
Positions (direct):
P 0.0000 0.5000 0.0000
P 0.5000 0.0000 0.0000
S 0.0000 0.0000 0.5000
Pd 0.0000 0.0000 0.0000
Ti 0.5000 0.5000 0.5000